# V2HgAuO, relaxed, DFT PBE with a Hubbard U
data_V2HgAuO
_space_group_name_H-M_alt 'P 1'
_space_group_IT_number 1
_cell_length_a 5.4088
_cell_length_b 4.1256
_cell_length_c 5.4088
_cell_angle_alpha 90.00
_cell_angle_beta 90.00
_cell_angle_gamma 90.00
loop_
_space_group_symop_operation_xyz
'x,y,z'
loop_
_atom_site_label
_atom_site_type_symbol
_atom_site_fract_x
_atom_site_fract_y
_atom_site_fract_z
_atom_site_occupancy
Au1 Au 0.5000 0.5000 0.5000 1
V1 V 0.5000 0.0000 0.0000 1
O1 O 0.0000 0.5000 0.0000 1
V2 V 0.0000 0.0000 0.5000 1
Hg1 Hg 0.0000 0.0000 0.0000 1
# Total moment in μB/f.u.: 7.7
# Uncorrected energy in eV/atom: -3.446
# Fermi-level density of states in states/eV/cell: 2.59